(1)
Below is a relaxed PrGe2TeO8 crystal, with properties calculated at the PBE-GGA level.

Cell: 5.5409 5.5409 6.9638 Å, 90.00 90.00 120.00°
Space group P-3m1 (No. 164)
One atom of each set of equivalent atoms:
Pr  0.0000  0.0000  0.0000 (multiplicity 1)
Ge  0.3333  0.6667  0.2208 (multiplicity 2)
Te  0.0000  0.0000  0.5000 (multiplicity 1)
O  0.1567  0.3134  0.2998 (multiplicity 6)
O  0.3333  0.6667  0.9745 (multiplicity 2)


(2)
Below is a relaxed PrThGe2O8 crystal, with properties calculated at the PBE-GGA level.

Cell: 7.314 7.314 6.668 Å, 90.00 90.00 90.00°
Space group I-4m2 (No. 119)
One atom of each set of equivalent atoms:
Pr  0.000  0.000  0.000 (multiplicity 2)
Th  0.000  0.500  0.750 (multiplicity 2)
Ge  0.000  0.000  0.500 (multiplicity 2)
Ge  0.000  0.500  0.250 (multiplicity 2)
O  0.000  0.183  0.675 (multiplicity 8)
O  0.000  0.322  0.069 (multiplicity 8)


(3)
Below is a relaxed PrTlGe2O6 crystal, with properties calculated at the PBE-GGA level.

Cell: 8.309 11.894 6.998 Å, 90.00 100.54 90.00°
Space group C2/c (No. 15)
One atom of each set of equivalent atoms:
Pr  0.000  0.103  0.250 (multiplicity 4)
Tl  0.000  0.460  0.750 (multiplicity 4)
Ge  0.158  0.171  0.860 (multiplicity 8)
O  0.053  0.178  0.591 (multiplicity 8)
O  0.214  0.028  0.879 (multiplicity 8)
O  0.222  0.204  0.152 (multiplicity 8)


(4)
Below is a relaxed Pr2TlGeO6 crystal, with properties calculated at the PBE-GGA level.

Cell: 5.513 5.513 5.263 Å, 90.00 90.00 90.00°
Space group P4mm (No. 99)
One atom of each set of equivalent atoms:
Pr  0.000  0.500  0.000 (multiplicity 2)
Tl  0.000  0.000  0.534 (multiplicity 1)
Ge  0.500  0.500  0.613 (multiplicity 1)
O  0.000  0.000  0.104 (multiplicity 1)
O  0.274  0.274  0.742 (multiplicity 4)
O  0.500  0.500  0.272 (multiplicity 1)


Record order is preserved below.
Energy relative to the elements, uncorrected: -1.61; -2.47; -1.91; -2.12 eV/atom